5
Lattice="-3.9692 -2.8301 0.9992 2.3030 -3.9343 -1.9949 1.9246 -1.1288 4.4480" Properties=species:S:1:pos:R:3 comment="ZnRu3Pb | Alexandria via LeMat-Bulk | GGA-PBE | relaxed" formation_energy_kj_per_mol_atoms=204.12 total_energy_ev_per_atom=-4.446 total_magnetization_mub_per_fu=4.00 polymorph_energy_ev_per_atom=0.818 n_ef_per_ev_atom=1.126 spacegroup="Pm-3m, No. 221" pbc="T T T"
Ru -1.9846 -1.4151 0.4996
Ru 0.9623 -0.5644 2.2240
Ru 1.1515 -1.9672 -0.9975
Zn 0.1292 -3.9466 1.7261
Pb 0.0000 0.0000 0.0000

=====

6
Lattice="-1.1905 1.9802 1.7579 -3.3669 0.1800 -2.4823 -3.2078 -3.6006 4.0832" Properties=species:S:1:pos:R:3 comment="ZnHF | Alexandria via LeMat-Bulk | GGA-PBE | relaxed" total_energy_ev_per_atom=-3.248 total_magnetization_mub_per_fu=0.00 polymorph_energy_ev_per_atom=0.000 n_ef_per_ev_atom=0.000 spacegroup="P2_1/m, No. 11" pbc="T T T"
Zn -3.6562 0.1860 -0.3239
Zn -4.1090 -1.6263 3.6827
H -3.1560 -2.0116 2.3630
H -4.6091 0.5713 0.9958
F -1.7533 0.4549 0.6453
F -6.0119 -1.8952 2.7135

=====

11
Lattice="-1.9326 1.1020 1.5444 -1.5012 -6.0341 2.4271 7.1485 1.2831 5.6554" Properties=species:S:1:pos:R:3 comment="Ir4Ru2Rh5 | Alexandria via LeMat-Bulk | GGA-PBE | relaxed" formation_energy_kj_per_mol_atoms=19.53 total_energy_ev_per_atom=-8.048 total_magnetization_mub_per_fu=0.00 polymorph_energy_ev_per_atom=0.064 n_ef_per_ev_atom=1.122 spacegroup="C2/m, No. 12" pbc="T T T"
Ir 0.1713 -2.4344 4.3260
Ir 3.5435 -1.2146 5.3009
Ir -0.4797 -3.9024 2.1843
Ir 4.1944 0.2533 7.4426
Rh 2.9617 -2.2579 7.6919
Rh 0.5348 -5.1019 4.3098
Rh 3.1799 1.4529 5.3171
Rh -0.9663 0.5510 0.7722
Rh 0.7531 -1.3911 1.9351
Ru 1.3727 -0.1260 4.1822
Ru 2.3421 -3.5230 5.4447

=====

26
Lattice="-2.9937 2.6753 3.3539 3.6287 -1.7962 4.4036 4.4511 8.2129 -3.5500" Properties=species:S:1:pos:R:3 comment="Mg2TaNb2O8 | Alexandria via LeMat-Bulk | GGA-PBE | relaxed" total_energy_ev_per_atom=-8.307 total_magnetization_mub_per_fu=0.00 n_ef_per_ev_atom=0.103 formation_energy_uncorrected_ev_per_atom=-2.550 spacegroup="P-1, No. 2" pbc="T T T"
O 0.3717 1.7011 3.5500
O 4.7144 7.3909 0.6575
O 5.9567 3.7139 2.0300
O 2.6105 -0.1167 2.9180
O 1.4850 3.7340 1.3912
O 1.1558 0.9253 0.6369
O 1.1017 4.4885 3.9314
O 3.9844 4.6036 0.2761
O 1.9904 0.9280 5.6531
O 3.0958 8.1640 -1.4456
O 3.6302 2.6276 3.6292
O -0.8705 5.3781 2.1775
O 1.4560 6.4644 0.5783
O 3.9303 8.1668 3.5706
O 2.4757 9.2087 1.2895
O 3.6011 5.3580 2.8163
Mg 2.1434 4.8502 -0.4464
Mg 1.6889 5.8491 2.4573
Mg 3.3973 3.2430 1.7502
Mg 2.9428 4.2419 4.6539
Nb 3.7824 0.8772 4.4944
Nb -0.1582 3.5157 2.6146
Nb 1.3038 8.2148 -0.2869
Nb 5.2444 5.5763 1.5929
Ta 0.5553 0.0981 2.3166
Ta 4.5308 8.9939 1.8909

=====

4
Lattice="-3.4879 -2.2271 3.2955 2.3704 -2.0888 4.2430 0.2657 4.7396 -2.3346" Properties=species:S:1:pos:R:3 comment="In2ReAs | Alexandria via LeMat-Bulk | GGA-PBE | relaxed" formation_energy_kj_per_mol_atoms=71.39 total_energy_ev_per_atom=-4.904 total_magnetization_mub_per_fu=1.12 n_ef_per_ev_atom=1.089 spacegroup="I4/mmm, No. 139" pbc="T T T"
As -1.8904 0.1773 2.3651
Re 1.0387 0.2464 2.8388
In 0.0000 0.0000 0.0000
In -0.5587 -2.1579 3.7693

=====

28
Lattice="4.5729 0.0000 0.0000 0.0000 7.2879 0.0000 0.0000 0.0000 18.7515" Properties=species:S:1:pos:R:3 comment="PrIn4Pt2 | Alexandria via LeMat-Bulk | GGA-PBE | relaxed" formation_energy_kj_per_mol_atoms=-62.83 total_energy_ev_per_atom=-4.625 total_magnetization_mub_per_fu=0.00 polymorph_energy_ev_per_atom=0.000 n_ef_per_ev_atom=0.435 spacegroup="Pnma, No. 62" pbc="T T T"
In 3.4297 5.5296 15.1736
In 3.4297 1.2481 15.2695
In 1.1432 4.8921 12.8578
In 1.1432 1.0677 10.0225
In 1.1432 2.5762 0.6468
In 1.1432 3.6326 8.0573
In 1.1432 6.0398 3.4820
In 1.1432 0.0114 17.4331
In 3.4297 5.4023 5.7979
In 1.1432 1.7584 3.5779
In 3.4297 4.7117 18.1047
In 3.4297 2.3959 5.8937
In 1.1432 1.8856 12.9536
In 3.4297 6.2202 8.7290
In 3.4297 7.2765 1.3184
In 3.4297 3.6554 10.6942
Pt 3.4297 1.8137 8.6063
Pt 1.1432 7.0142 14.6718
Pt 3.4297 1.8302 17.9821
Pt 1.1432 5.4577 0.7694
Pt 1.1432 3.9177 5.2960
Pt 1.1432 5.4742 10.1452
Pt 3.4297 3.3702 13.4555
Pt 3.4297 0.2737 4.0797
Pr 3.4297 3.8554 2.6476
Pr 1.1432 0.2114 6.7282
Pr 1.1432 3.4325 16.1039
Pr 3.4297 7.0765 12.0234

=====

12
Lattice="4.0363 0.0838 0.0000 1.0560 6.1050 0.0000 0.5280 3.0525 7.2666" Properties=species:S:1:pos:R:3 comment="Ca5BN6 | Alexandria via LeMat-Bulk | GGA-PBE | relaxed" total_energy_ev_per_atom=-6.152 total_magnetization_mub_per_fu=0.00 n_ef_per_ev_atom=0.281 formation_energy_uncorrected_ev_per_atom=-0.599 spacegroup="C2/m, No. 12" pbc="T T T"
N 3.3542 4.8189 3.9843
N 4.5063 4.9484 0.0000
N 0.5859 1.2404 0.0000
N 2.8262 1.7663 3.2824
N 2.2660 4.4224 3.2824
N 2.7940 7.4749 3.9843
Ca 1.0560 6.1050 4.5197
Ca 2.5461 3.0944 5.3200
Ca 0.5280 3.0525 2.7470
Ca 2.5461 3.0944 0.0000
Ca 3.0741 6.1469 1.9466
B 0.0000 0.0000 0.0000

=====

6
Lattice="4.1919 0.0004 -0.9553 -0.2166 4.1861 -0.9558 -0.0220 -0.0218 9.5821" Properties=species:S:1:pos:R:3 comment="Tb2HfSb3 | Alexandria via LeMat-Bulk | GGA-PBE | relaxed" total_energy_ev_per_atom=-6.116 total_magnetization_mub_per_fu=0.00 n_ef_per_ev_atom=0.411 formation_energy_uncorrected_ev_per_atom=-0.853 spacegroup="I4/mmm, No. 139" pbc="T T T"
Tb 0.4060 0.4331 1.8332
Tb 3.0302 3.1971 3.6709
Sb 3.6934 3.8995 6.5874
Sb 1.0763 1.1398 4.7753
Sb 2.3597 2.4908 0.7289
Hf 1.7057 1.8063 7.5429

=====

4
Lattice="3.6620 0.0000 0.0000 1.8310 3.1714 0.0000 1.8310 1.0571 10.3898" Properties=species:S:1:pos:R:3 comment="PmGd2Ni | Alexandria via LeMat-Bulk | GGA-PBE | relaxed" formation_energy_kj_per_mol_atoms=5.18 total_energy_ev_per_atom=-9.620 total_magnetization_mub_per_fu=15.34 polymorph_energy_ev_per_atom=0.200 n_ef_per_ev_atom=1.079 spacegroup="R-3m, No. 166" pbc="T T T"
Gd 1.8310 1.0571 6.8941
Gd 5.4930 3.1714 3.4956
Pm 0.0000 0.0000 0.0000
Ni 3.6620 2.1142 5.1949

=====

6
Lattice="-2.5457 -1.6131 -2.2337 3.6143 -0.9622 -0.2743 -2.2594 -11.6107 10.9598" Properties=species:S:1:pos:R:3 comment="TmMgI | Alexandria via LeMat-Bulk | GGA-PBE | relaxed" total_energy_ev_per_atom=-2.865 total_magnetization_mub_per_fu=0.24 n_ef_per_ev_atom=0.869 formation_energy_uncorrected_ev_per_atom=-0.326 spacegroup="Amm2, No. 38" pbc="T T T"
Tm -2.2260 -8.8539 5.7809
Tm -1.5105 -5.1772 2.3103
I 0.8510 -3.3812 1.4719
I -0.4793 -10.2172 7.9247
Mg 0.1804 -6.7950 4.7015
Mg -0.8196 -1.1490 -1.3862

=====

4
Lattice="-0.6355 -5.0141 -1.2964 3.0100 -1.8142 -3.8567 -0.1236 2.1376 4.7583" Properties=species:S:1:pos:R:3 comment="Mg2OsRu | Alexandria via LeMat-Bulk | GGA-PBE | relaxed" formation_energy_kj_per_mol_atoms=21.47 total_energy_ev_per_atom=-5.701 total_magnetization_mub_per_fu=0.00 polymorph_energy_ev_per_atom=0.217 n_ef_per_ev_atom=0.904 spacegroup="Immm, No. 71" pbc="T T T"
Mg 1.1818 -3.3985 -2.5647
Mg 0.0055 -0.0157 -0.0118
Os 0.2141 -3.1453 0.4427
Ru 2.0369 -1.5454 -0.8375

=====

5
Lattice="3.9791 0.0000 0.0000 0.0000 3.9791 0.0000 0.0000 0.0000 3.8033" Properties=species:S:1:pos:R:3 comment="TiCuN2O | Alexandria via LeMat-Bulk | GGA-PBE | relaxed" total_energy_ev_per_atom=-6.565 total_magnetization_mub_per_fu=2.25 n_ef_per_ev_atom=0.502 formation_energy_uncorrected_ev_per_atom=0.155 spacegroup="P4/mmm, No. 123" pbc="T T T"
Cu 1.9896 1.9896 1.9017
O 0.0000 0.0000 1.9017
N 1.9896 0.0000 0.0000
N 0.0000 1.9896 0.0000
Ti 0.0000 0.0000 0.0000

=====

5
Lattice="-1.2300 -3.2614 -1.9404 1.3135 -2.2795 2.9988 -5.7054 3.2249 2.2970" Properties=species:S:1:pos:R:3 comment="PrNdSeO2 | Alexandria via LeMat-Bulk | GGA-PBE | relaxed" total_energy_ev_per_atom=-7.544 total_magnetization_mub_per_fu=0.00 n_ef_per_ev_atom=0.000 formation_energy_uncorrected_ev_per_atom=-2.954 spacegroup="I4mm, No. 107" pbc="T T T"
Se -5.6602 0.4542 2.8245
O -3.4564 -1.4027 0.4477
O -2.1847 -0.9118 2.9173
Pr -1.7354 0.1393 0.8660
Nd -3.8708 -2.4565 2.4816

=====

4
Lattice="-2.0884 0.0185 -2.2968 0.3939 -3.0554 -0.3828 -4.2442 -1.0296 3.8507" Properties=species:S:1:pos:R:3 comment="Fe2AsPt | Alexandria via LeMat-Bulk | GGA-PBE | relaxed" formation_energy_kj_per_mol_atoms=-2.93 total_energy_ev_per_atom=-6.934 total_magnetization_mub_per_fu=5.21 n_ef_per_ev_atom=0.688 spacegroup="P4mm, No. 99" pbc="T T T"
Pt -2.0530 -0.4980 1.8627
Fe -1.8250 -1.7556 -0.4527
Fe -0.0119 -0.0029 0.0108
As -4.1709 -2.3247 1.6758

=====

10
Lattice="-1.6096 3.5531 -2.7957 -4.5115 -1.0678 1.2403 0.6672 6.8565 8.3299" Properties=species:S:1:pos:R:3 comment="Rb2CdGa3Au4 | Alexandria via LeMat-Bulk | GGA-PBE | relaxed" formation_energy_kj_per_mol_atoms=-25.31 total_energy_ev_per_atom=-2.766 total_magnetization_mub_per_fu=0.00 n_ef_per_ev_atom=0.388 spacegroup="P-4m2, No. 115" pbc="T T T"
Cd -2.7269 4.6709 3.3872
Au 0.0000 0.0000 0.0000
Au -3.0605 1.2427 -0.7777
Au -0.3767 6.1758 3.9467
Au -2.0166 1.9234 3.6055
Ga 0.3336 3.4283 4.1650
Ga -2.1824 0.2199 1.5360
Ga -0.2110 7.8792 6.0162
Rb -1.7516 4.6468 6.9141
Rb -0.6417 3.4524 0.6381

=====

18
Lattice="6.4830 0.0000 0.2593 0.0000 8.6835 0.0000 -0.4769 0.0000 10.5618" Properties=species:S:1:pos:R:3 comment="Pr6PdPb2 | Alexandria via LeMat-Bulk | GGA-PBE | relaxed" formation_energy_kj_per_mol_atoms=-36.88 total_energy_ev_per_atom=-4.970 total_magnetization_mub_per_fu=0.00 n_ef_per_ev_atom=1.365 spacegroup="P2_1/c, No. 14" pbc="T T T"
Pb 0.4785 5.3652 2.6621
Pb 5.5276 3.3183 8.1590
Pb 3.4816 7.6601 8.0726
Pb 2.5245 1.0235 2.7485
Pr 3.7414 1.5928 5.9498
Pr 2.3899 7.1748 0.6209
Pr 5.6072 8.4423 2.7535
Pr 2.2647 7.0907 4.8713
Pr 0.6132 2.8331 4.7896
Pr 5.3929 5.8505 6.0314
Pr 2.1272 4.5830 7.9047
Pr 0.7384 2.7490 0.5393
Pr 5.2677 5.9346 10.2818
Pr 0.3989 0.2413 8.0676
Pr 3.6162 1.5087 10.2002
Pr 3.8789 4.1005 2.9164
Pd 3.2415 4.3418 0.1297
Pd -0.2385 0.0000 5.2809

=====

9
Lattice="3.9340 -0.0003 -1.2716 -1.0319 6.1248 -3.1940 -0.4555 -1.2875 5.3144" Properties=species:S:1:pos:R:3 comment="Co2Ni6Rh | Alexandria via LeMat-Bulk | GGA-PBE | relaxed" formation_energy_kj_per_mol_atoms=16.87 total_energy_ev_per_atom=-6.075 total_magnetization_mub_per_fu=8.46 polymorph_energy_ev_per_atom=0.161 n_ef_per_ev_atom=1.169 spacegroup="Immm, No. 71" pbc="T T T"
Co 1.7695 3.6309 -1.2451
Co 0.6771 1.2061 2.0939
Rh 0.0000 0.0000 0.0000
Ni 1.1390 4.9140 -3.1985
Ni -0.3676 4.7849 -1.1365
Ni 0.0101 2.5434 0.0324
Ni 2.8142 0.0521 1.9853
Ni 1.7630 1.2104 -1.2671
Ni 2.4365 2.2936 0.8164

=====

5
Lattice="6.3300 0.0000 0.0000 0.0000 6.3300 0.0000 0.0000 0.0000 6.0163" Properties=species:S:1:pos:R:3 comment="BaMoAs2Br | Alexandria via LeMat-Bulk | GGA-PBE | relaxed" total_energy_ev_per_atom=-3.537 total_magnetization_mub_per_fu=1.18 polymorph_energy_ev_per_atom=1.736 n_ef_per_ev_atom=0.474 formation_energy_uncorrected_ev_per_atom=1.208 spacegroup="P4/mmm, No. 123" pbc="T T T"
As 0.0000 3.1650 0.0000
As 3.1650 0.0000 0.0000
Br 0.0000 0.0000 3.0082
Mo 3.1650 3.1650 3.0082
Ba 0.0000 0.0000 0.0000

=====

3
Lattice="4.6432 0.0000 0.0000 2.3216 4.0211 0.0000 2.3216 1.3404 3.7912" Properties=species:S:1:pos:R:3 comment="CuSnSb | Alexandria via LeMat-Bulk | GGA-PBE | relaxed" total_energy_ev_per_atom=-4.031 total_magnetization_mub_per_fu=0.00 polymorph_energy_ev_per_atom=0.000 n_ef_per_ev_atom=0.267 formation_energy_uncorrected_ev_per_atom=0.043 spacegroup="F-43m, No. 216" pbc="T T T"
Sn 4.6432 2.6808 1.8956
Cu 2.3216 1.3404 0.9478
Sb 0.0000 0.0000 0.0000

=====

8
Lattice="3.3793 -5.8530 0.0000 3.3793 5.8530 0.0000 0.0000 0.0000 6.0196" Properties=species:S:1:pos:R:3 comment="In3Te | Alexandria via LeMat-Bulk | GGA-PBE | relaxed" total_energy_ev_per_atom=-2.907 total_magnetization_mub_per_fu=0.00 n_ef_per_ev_atom=0.269 formation_energy_uncorrected_ev_per_atom=-0.068 spacegroup="P6_3/mmc, No. 194" pbc="T T T"
In 1.6888 -0.9750 1.5049
In 5.0697 -0.9750 1.5049
In 3.3793 3.9030 4.5147
In 3.3793 -3.9030 1.5049
In 5.0697 0.9750 4.5147
In 1.6888 0.9750 4.5147
Te 3.3793 1.9510 1.5049
Te 3.3793 -1.9510 4.5147